[1]
! YAg2RhW, optimized geometry, DFT PBE; values from VASP
! Mass density   8.20 Mg/m³
! Symmetry   No. 123
! Spin magnetization   0.0 μB/cell
! ΔE_f   1.97 eV per atom
&SYSTEM
  ibrav = 0, nat = 5, ntyp = 4
/
ATOMIC_SPECIES
Y 88.91 Y.upf
Ag 107.87 Ag.upf
Rh 102.91 Rh.upf
W 183.84 W.upf
CELL_PARAMETERS angstrom
5.044 0.000 0.000
0.000 5.044 0.000
0.000 0.000 4.709
ATOMIC_POSITIONS crystal
Y 0.000 0.000 0.000
Ag 0.000 0.500 0.000
Ag 0.500 0.000 0.000
Rh 0.000 0.000 0.500
W 0.500 0.500 0.500

***

[2]
! YAgRh, optimized geometry, DFT PBE; values from VASP
! Mass density   7.24 Mg/m³
! Distance to the lowest polymorph of the same formula   0.599 eV per formula unit
! Symmetry   No. 216
! Spin magnetization   0.0 μB/cell
! ΔE_f   -0.27 eV per atom
&SYSTEM
  ibrav = 0, nat = 3, ntyp = 3
/
ATOMIC_SPECIES
Y 88.91 Y.upf
Ag 107.87 Ag.upf
Rh 102.91 Rh.upf
CELL_PARAMETERS angstrom
0.000 3.251 3.251
3.251 0.000 3.251
3.251 3.251 0.000
ATOMIC_POSITIONS crystal
Y 0.000 0.000 0.000
Ag 0.500 0.500 0.500
Rh 0.750 0.750 0.750

***

[3]
! YAgRh, optimized geometry, DFT PBE; values from VASP
! Mass density   8.38 Mg/m³
! Distance to the lowest polymorph of the same formula   0.000 eV per formula unit
! Symmetry   No. 194
! Spin magnetization   0.0 μB/cell
! ΔE_f   -0.47 eV per atom
&SYSTEM
  ibrav = 0, nat = 6, ntyp = 3
/
ATOMIC_SPECIES
Y 88.91 Y.upf
Ag 107.87 Ag.upf
Rh 102.91 Rh.upf
CELL_PARAMETERS angstrom
4.916 0.000 0.000
-2.458 4.258 0.000
0.000 0.000 5.676
ATOMIC_POSITIONS crystal
Y 0.333 0.667 0.250
Y 0.667 0.333 0.750
Ag 0.000 0.000 0.000
Ag 0.000 0.000 0.500
Rh 0.333 0.667 0.750
Rh 0.667 0.333 0.250

***

[4]
! Y5AgRh2, optimized geometry, DFT PBE; values from VASP
! Mass density   6.27 Mg/m³
! Symmetry   No. 140
! Spin magnetization   0.0 μB/cell
! ΔE_f   -0.57 eV per atom
&SYSTEM
  ibrav = 0, nat = 16, ntyp = 3
/
ATOMIC_SPECIES
Y 88.91 Y.upf
Ag 107.87 Ag.upf
Rh 102.91 Rh.upf
CELL_PARAMETERS angstrom
-3.856 3.856 6.754
3.856 -3.856 6.754
3.856 3.856 -6.754
ATOMIC_POSITIONS crystal
Y 0.000 0.000 0.000
Y 0.023 0.523 0.821
Y 0.202 0.023 0.500
Y 0.298 0.798 0.821
Y 0.477 0.298 0.500
Y 0.500 0.500 0.000
Y 0.523 0.702 0.500
Y 0.702 0.202 0.179
Y 0.798 0.977 0.500
Y 0.977 0.477 0.179
Ag 0.250 0.250 0.000
Ag 0.750 0.750 0.000
Rh 0.139 0.361 0.500
Rh 0.361 0.861 0.222
Rh 0.639 0.139 0.778
Rh 0.861 0.639 0.500

***

[5]
! Y4AgRh2, optimized geometry, DFT PBE; values from VASP
! Mass density   6.65 Mg/m³
! Distance to the lowest polymorph of the same formula   0.000 eV per formula unit
! Symmetry   No. 166
! Spin magnetization   0.0 μB/cell
! ΔE_f   -0.57 eV per atom
&SYSTEM
  ibrav = 0, nat = 7, ntyp = 3
/
ATOMIC_SPECIES
Y 88.91 Y.upf
Ag 107.87 Ag.upf
Rh 102.91 Rh.upf
CELL_PARAMETERS angstrom
2.464 1.423 7.950
-2.464 1.423 7.950
0.000 -2.845 7.950
ATOMIC_POSITIONS crystal
Y 0.120 0.120 0.120
Y 0.371 0.371 0.371
Y 0.629 0.629 0.629
Y 0.880 0.880 0.880
Ag 0.500 0.500 0.500
Rh 0.249 0.249 0.249
Rh 0.751 0.751 0.751

***

[6]
! YAgRh2, optimized geometry, DFT PBE; values from VASP
! Mass density   8.93 Mg/m³
! Symmetry   No. 166
! Spin magnetization   0.0 μB/cell
! ΔE_f   0.03 eV per atom
&SYSTEM
  ibrav = 0, nat = 4, ntyp = 3
/
ATOMIC_SPECIES
Y 88.91 Y.upf
Ag 107.87 Ag.upf
Rh 102.91 Rh.upf
CELL_PARAMETERS angstrom
1.588 0.917 8.568
-1.588 0.917 8.568
0.000 -1.834 8.568
ATOMIC_POSITIONS crystal
Y 0.000 0.000 0.000
Ag 0.500 0.500 0.500
Rh 0.252 0.252 0.252
Rh 0.748 0.748 0.748

***

[7]
! Y5Ag2Rh2, optimized geometry, DFT PBE; values from VASP
! Mass density   6.50 Mg/m³
! Symmetry   No. 64
! Spin magnetization   0.0 μB/cell
! ΔE_f   -0.53 eV per atom
&SYSTEM
  ibrav = 0, nat = 18, ntyp = 3
/
ATOMIC_SPECIES
Y 88.91 Y.upf
Ag 107.87 Ag.upf
Rh 102.91 Rh.upf
CELL_PARAMETERS angstrom
7.868 -3.705 0.000
7.868 3.705 0.000
0.000 0.000 7.588
ATOMIC_POSITIONS crystal
Y 0.000 0.000 0.000
Y 0.044 0.701 0.673
Y 0.201 0.544 0.173
Y 0.299 0.956 0.673
Y 0.456 0.799 0.173
Y 0.500 0.500 0.500
Y 0.544 0.201 0.827
Y 0.701 0.044 0.327
Y 0.799 0.456 0.827
Y 0.956 0.299 0.327
Ag 0.213 0.213 0.000
Ag 0.287 0.287 0.500
Ag 0.713 0.713 0.500
Ag 0.787 0.787 0.000
Rh 0.132 0.868 0.367
Rh 0.368 0.632 0.867
Rh 0.632 0.368 0.133
Rh 0.868 0.132 0.633

***

[8]
! Y3Ag2Rh, optimized geometry, DFT PBE; values from VASP
! Mass density   7.11 Mg/m³
! Symmetry   No. 164
! Spin magnetization   0.0 μB/cell
! ΔE_f   -0.49 eV per atom
&SYSTEM
  ibrav = 0, nat = 6, ntyp = 3
/
ATOMIC_SPECIES
Y 88.91 Y.upf
Ag 107.87 Ag.upf
Rh 102.91 Rh.upf
CELL_PARAMETERS angstrom
5.036 0.000 0.000
-2.518 4.361 0.000
0.000 0.000 6.221
ATOMIC_POSITIONS crystal
Y 0.000 0.000 0.000
Y 0.333 0.667 0.650
Y 0.667 0.333 0.350
Ag 0.333 0.667 0.154
Ag 0.667 0.333 0.846
Rh 0.000 0.000 0.500